Computed, not measured: a geometry-optimized ZrCSe2 structure at the GGA-PBE level of DFT.

a b c (Å): 5.651 5.651 10.469
angles (deg): 90.00 90.00 90.00
Space group I-42d (No. 122)
One atom of each set of equivalent atoms:
Zr 0.000 0.000 0.000
C 0.000 0.000 0.500
Se 0.178 0.250 0.625

The uncorrected formation energy is 263 kJ/mol of formula units.

=====

Computed, not measured: a geometry-optimized YTlCu2 structure at the GGA-PBE level of DFT.

a b c (Å): 6.495 6.487 3.807
angles (deg): 90.00 90.15 90.00
Space group C2/m (No. 12)
One atom of each set of equivalent atoms:
Y 0.000 0.000 0.000
Tl 0.000 0.500 0.000
Cu 0.250 0.250 0.500

As for the formation energy: -14 meV per atom.

=====

Computed, not measured: a geometry-optimized Pu4ThSb5 structure at the GGA-PBE level of DFT.

a b c (Å): 14.737 4.462 10.883
angles (deg): 90.00 119.40 90.00
Space group C2/m (No. 12)
One atom of each set of equivalent atoms:
Pu 0.099 0.000 0.400
Pu 0.201 0.500 0.797
Th 0.000 0.500 0.000
Sb 0.000 0.500 0.500
Sb 0.103 0.000 0.899
Sb 0.201 0.500 0.303

The uncorrected formation energy is -662 kJ/mol of formula units.

=====

Computed, not measured: a geometry-optimized Rb2LaReW structure at the GGA-PBE level of DFT.

a b c (Å): 6.526 6.526 5.102
angles (deg): 90.00 90.00 90.00
Space group P4/mmm (No. 123)
One atom of each set of equivalent atoms:
Rb 0.000 0.500 0.000
La 0.000 0.000 0.500
Re 0.000 0.000 0.000
W 0.500 0.500 0.500

As for the formation energy: 2454 meV per atom.

=====

Computed, not measured: a geometry-optimized Er4SnIr2 structure at the GGA-PBE level of DFT.

a b c (Å): 4.6151 4.6151 29.0586
angles (deg): 90.00 90.00 120.00
Space group R-3m (No. 166, hexagonal axes)
One atom of each set of equivalent atoms:
Er 0.0000 0.0000 0.1123
Er 0.0000 0.0000 0.2989
Sn 0.0000 0.0000 0.5000
Ir 0.0000 0.0000 0.4015

As for the formation energy: -727 meV per atom.

=====

Computed, not measured: a geometry-optimized Ce2Zn9Pd structure at the GGA-PBE level of DFT.

a b c (Å): 5.3075 5.3075 26.1359
angles (deg): 90.00 90.00 120.00
Space group R-3m (No. 166, hexagonal axes)
One atom of each set of equivalent atoms:
Ce 0.0000 0.0000 0.1473
Zn 0.0000 0.0000 0.3348
Zn 0.0000 0.0000 0.5000
Zn 0.0021 0.5010 0.9201
Pd 0.0000 0.0000 0.0000

As for the formation energy: -105 meV per atom.

=====

Computed, not measured: a geometry-optimized RbLa2Cu2 structure at the GGA-PBE level of DFT.

a b c (Å): 8.930 8.930 3.559
angles (deg): 90.00 90.00 90.00
Space group P4/mbm (No. 127)
One atom of each set of equivalent atoms:
Rb 0.000 0.000 0.000
La 0.132 0.368 0.000
Cu 0.152 0.652 0.500

As for the energy above the most stable polymorph in this dataset: 0.001 eV per atom. As for the formation energy: 191 meV per atom.

=====

Computed, not measured: a geometry-optimized NaFeN2 structure at the GGA-PBE level of DFT.

a b c (Å): 2.8579 2.8579 19.3513
angles (deg): 90.00 90.00 120.00
Space group R-3m (No. 166, hexagonal axes)
One atom of each set of equivalent atoms:
Na 0.0000 0.0000 0.0000
Fe 0.0000 0.0000 0.5000
N 0.0000 0.0000 0.1144

As for the energy above the most stable polymorph in this dataset: 0.577 eV per atom. The uncorrected formation energy is 213 kJ/mol of formula units.

=====

Computed, not measured: a geometry-optimized USi2IrOs2 structure at the GGA-PBE level of DFT.

a b c (Å): 4.570 4.570 5.225
angles (deg): 90.00 90.00 90.00
Space group P4/mmm (No. 123)
One atom of each set of equivalent atoms:
U 0.000 0.000 0.000
Si 0.000 0.500 0.500
Ir 0.000 0.000 0.500
Os 0.500 0.500 0.238

The uncorrected formation energy is 181 kJ/mol of formula units.

=====

Computed, not measured: a geometry-optimized RbCa2Al structure at the GGA-PBE level of DFT.

a b c (Å): 3.824 3.824 11.214
angles (deg): 90.00 90.00 90.00
Space group P4/mmm (No. 123)
One atom of each set of equivalent atoms:
Rb 0.000 0.000 0.000
Ca 0.500 0.500 0.339
Al 0.000 0.000 0.500

As for the formation energy: 23 meV per atom.

=====

Computed, not measured: a geometry-optimized NiAg4W structure at the GGA-PBE level of DFT.

a b c (Å): 7.479 7.479 7.479
angles (deg): 90.00 90.00 90.00
Space group F-43m (No. 216)
One atom of each set of equivalent atoms:
Ni 0.000 0.000 0.000
Ag 0.125 0.125 0.375
W 0.250 0.250 0.750

As for the formation energy: 940 meV per atom.

=====

Computed, not measured: a geometry-optimized YSbI2 structure at the GGA-PBE level of DFT.

a b c (Å): 7.816 7.816 7.816
angles (deg): 90.00 90.00 90.00
Space group Fm-3m (No. 225)
One atom of each set of equivalent atoms:
Y 0.000 0.000 0.000
Sb 0.000 0.000 0.500
I 0.250 0.250 0.250

As for the energy above the most stable polymorph in this dataset: 0.238 eV per atom. The uncorrected formation energy is -118 kJ/mol of formula units.

=====

E_tot per entry: -5.505 -4.269 -9.222 -3.998 -6.437 -2.482 -3.612 -6.056 -8.596 -2.155 -4.083 -3.727 eV/atom